w.
MgTaMo3 | Alexandria | PBE | optimized geometry; symmetry = Pm-3m (221)
1.0
-1.079 -3.708 -2.859
-0.648 -2.787 3.860
-4.637 1.253 0.126
Mo Ta Mg
3 1 1
Direct
0.000 0.500 0.000 Mo
0.500 0.000 0.000 Mo
0.000 0.000 0.500 Mo
0.000 0.000 0.000 Ta
0.500 0.500 0.500 Mg

=====

x.
MgTaMo3 | Alexandria | PBE | optimized geometry; symmetry = Pm-3m (221)
1.0
4.535 0.000 0.000
0.000 4.535 0.000
0.000 0.000 4.535
Mo Ta Mg
3 1 1
Direct
0.000 0.000 0.500 Mo
0.500 0.000 0.000 Mo
0.000 0.500 0.000 Mo
0.500 0.500 0.500 Ta
0.000 0.000 0.000 Mg

=====

Most stable = w

=====

w.
MgTa3Mo | Alexandria | PBE | optimized geometry; symmetry = Pm-3m (221)
1.0
-4.372 2.029 -0.661
0.152 -1.207 -4.711
-2.129 -4.254 1.021
Ta Mg Mo
3 1 1
Direct
0.000 0.000 0.500 Ta
0.000 0.500 0.000 Ta
0.500 0.000 0.000 Ta
0.500 0.500 0.500 Mg
0.000 0.000 0.000 Mo

=====

x.
MgTa3Mo | Alexandria | PBE | optimized geometry; symmetry = Pm-3m (221)
1.0
-3.361 0.422 -3.201
-3.210 -0.926 3.249
-0.342 4.548 0.959
Ta Mg Mo
3 1 1
Direct
0.000 0.500 0.000 Ta
0.500 0.000 0.000 Ta
0.000 0.000 0.500 Ta
0.000 0.000 0.000 Mg
0.500 0.500 0.500 Mo

=====

Most stable = w

=====

w.
Mg3TcMo | Alexandria | PBE | optimized geometry; symmetry = Pm-3m (221)
1.0
-4.638 -0.137 -1.666
-1.582 -1.222 4.506
-0.538 4.774 1.105
Mg Mo Tc
3 1 1
Direct
0.500 0.000 0.000 Mg
0.000 0.500 0.000 Mg
0.000 0.000 0.500 Mg
0.000 0.000 0.000 Mo
0.500 0.500 0.500 Tc

=====

x.
Mg3TcMo | Alexandria | PBE | optimized geometry; symmetry = Pm-3m (221)
1.0
-1.055 -4.225 -2.246
4.784 -0.979 -0.405
-0.100 -2.280 4.336
Mg Mo Tc
3 1 1
Direct
0.000 0.500 0.000 Mg
0.000 0.000 0.500 Mg
0.500 0.000 0.000 Mg
0.500 0.500 0.500 Mo
0.000 0.000 0.000 Tc

=====

Most stable = x

=====

w.
MgTeMo2 | Alexandria | PBE | optimized geometry; symmetry = Cmmm (65)
1.0
4.495 -0.015 0.000
-0.726 4.436 0.000
0.000 0.000 3.538
Mo Te Mg
2 1 1
Direct
0.500 0.500 0.000 Mo
0.000 0.000 0.000 Mo
0.500 0.000 0.500 Te
0.000 0.500 0.500 Mg

=====

x.
MgTeMo2 | Alexandria | PBE | optimized geometry; symmetry = P4mm (99)
1.0
3.271 0.000 0.000
0.000 3.271 0.000
0.000 0.000 7.791
Mo Mg Te
2 1 1
Direct
0.500 0.500 0.215 Mo
0.000 0.000 0.040 Mo
0.500 0.500 0.812 Mg
0.000 0.000 0.434 Te

=====

Most stable = x

=====

w.
MgTeMo2 | Alexandria | PBE | optimized geometry; symmetry = I4/mmm (139)
1.0
5.424 0.001 0.000
2.560 4.782 0.000
-3.992 -2.392 2.787
Mo Te Mg
2 1 1
Direct
0.000 0.000 0.000 Mo
0.500 0.500 0.000 Mo
0.250 0.750 0.500 Te
0.750 0.250 0.500 Mg

=====

x.
MgTeMo2 | Alexandria | PBE | optimized geometry; symmetry = Pmmm (47)
1.0
3.487 0.000 0.000
0.000 4.457 0.000
0.000 0.000 4.636
Mo Mg Te
2 1 1
Direct
0.500 0.500 0.000 Mo
0.000 0.000 0.000 Mo
0.000 0.500 0.500 Mg
0.500 0.000 0.500 Te

=====

Most stable = x

=====

w.
MgTeMo2 | Alexandria | PBE | optimized geometry; symmetry = I-42d (122)
1.0
-0.371 0.485 3.870
-1.973 -3.376 0.234
7.412 -6.363 3.491
Te Mo Mg
2 4 2
Direct
0.000 0.000 0.000 Te
0.750 0.250 0.500 Te
0.375 0.369 0.750 Mo
0.875 0.881 0.750 Mo
0.631 0.125 0.250 Mo
0.119 0.625 0.250 Mo
0.500 0.500 0.000 Mg
0.250 0.750 0.500 Mg

=====

x.
MgTeMo2 | Alexandria | PBE | optimized geometry; symmetry = C2/m (12)
1.0
5.068 0.002 0.003
3.974 3.145 0.003
0.708 0.246 4.728
Mo Te Mg
2 1 1
Direct
0.001 0.001 0.044 Mo
0.499 0.499 0.456 Mo
0.750 0.750 0.750 Te
0.250 0.250 0.250 Mg

=====

y.
MgTeMo2 | Alexandria | PBE | optimized geometry; symmetry = F-43m (216)
1.0
4.663 0.000 0.000
2.332 4.038 0.000
2.332 1.346 3.807
Mg Mo Te
1 2 1
Direct
0.500 0.500 0.500 Mg
0.000 0.000 0.000 Mo
0.250 0.250 0.250 Mo
0.750 0.750 0.750 Te

=====

z.
MgTeMo2 | Alexandria | PBE | optimized geometry; symmetry = Cmmm (65)
1.0
-0.597 2.142 1.999
-2.301 -0.397 -1.868
-3.454 -6.157 5.566
Mg Mo Te
1 2 1
Direct
0.500 0.500 0.750 Mg
0.000 0.000 0.491 Mo
0.000 0.000 0.009 Mo
0.500 0.500 0.250 Te

=====

Most stable = x